A geometry-optimized ZnCrCdFe2 structure, computed with GGA-PBEsol.

Calculated values
E_form, eV per atom: 1.24
Total energy, eV per atom: -4.945
Total magnetic moment, μB/f.u.: 2.4
Space group: P4/mmm

Unit cell a=4.104 b=4.104 c=4.929 alpha=90.00 beta=90.00 gamma=90.00
Site moments in Bohr magnetons follow the coordinates.
Positions (direct):
Cr: 0.000 0.000 0.000  -0.47
Zn: 0.500 0.500 0.500  -0.02
Fe: 0.000 0.500 0.000  1.46
Fe: 0.500 0.000 0.000  1.46
Cd: 0.000 0.000 0.500  -0.01

***

A geometry-optimized Be2NbCl structure, computed with GGA-PBEsol.

Calculated values
Total energy, eV per atom: -4.110
Total magnetic moment, μB/f.u.: 0.0
Space group: Fm-3m

Unit cell a=4.289 b=4.289 c=4.289 alpha=60.00 beta=60.00 gamma=60.00
Positions (direct):
Be: 0.250 0.250 0.250
Be: 0.750 0.750 0.750
Nb: 0.500 0.500 0.500
Cl: 0.000 0.000 0.000

***

A geometry-optimized BaLaGa3 structure, computed with GGA-PBEsol.

Calculated values
E_form, eV per atom: 0.66
Total energy, eV per atom: -2.840
Total magnetic moment, μB/f.u.: 0.0
Space group: Pm-3m

Unit cell a=5.506 b=5.506 c=5.506 alpha=90.00 beta=90.00 gamma=90.00
Positions (direct):
Ba: 0.000 0.000 0.000
Ga: 0.000 0.500 0.000
Ga: 0.000 0.000 0.500
Ga: 0.500 0.000 0.000
La: 0.500 0.500 0.500

***

A geometry-optimized NaSr2Zn2 structure, computed with GGA-PBEsol.

Calculated values
E_form, eV per atom: -0.09
Total energy, eV per atom: -1.736
Total magnetic moment, μB/f.u.: 0.0
Space group: P4/mbm

Unit cell a=4.403 b=8.365 c=8.365 alpha=90.00 beta=90.00 gamma=90.00
Positions (direct):
Sr: 0.500 0.176 0.676
Sr: 0.500 0.676 0.824
Sr: 0.500 0.824 0.324
Sr: 0.500 0.324 0.176
Zn: 0.000 0.389 0.889
Zn: 0.000 0.889 0.611
Zn: 0.000 0.611 0.111
Zn: 0.000 0.111 0.389
Na: 0.000 0.000 0.000
Na: 0.000 0.500 0.500

***

A geometry-optimized KCd2P structure, computed with GGA-PBEsol.

Calculated values
E_form, eV per atom: 0.05
Total energy, eV per atom: -2.277
Total magnetic moment, μB/f.u.: 0.0
Space group: R-3m

Unit cell a=4.356 b=4.356 c=7.366 alpha=72.80 beta=72.80 gamma=60.00
Positions (direct):
Cd: 0.284 0.284 0.148
Cd: 0.716 0.716 0.852
K: 0.500 0.500 0.500
P: 0.000 0.000 0.000

***

A geometry-optimized Sc2PbS4 structure, computed with GGA-PBEsol.

Calculated values
Total energy, eV per atom: -6.521
Total magnetic moment, μB/f.u.: 0.0
Space group: Pnma

Unit cell a=3.720 b=11.569 c=13.580 alpha=90.00 beta=90.00 gamma=90.00
Positions (direct):
Sc: 0.250 0.443 0.390
Sc: 0.750 0.557 0.610
Sc: 0.250 0.943 0.110
Sc: 0.750 0.057 0.890
Sc: 0.750 0.082 0.404
Sc: 0.250 0.918 0.596
Sc: 0.750 0.582 0.096
Sc: 0.250 0.418 0.904
Pb: 0.250 0.760 0.328
Pb: 0.750 0.240 0.672
Pb: 0.250 0.260 0.172
Pb: 0.750 0.740 0.828
S: 0.750 0.089 0.073
S: 0.250 0.911 0.927
S: 0.750 0.589 0.427
S: 0.250 0.411 0.573
S: 0.750 0.969 0.716
S: 0.250 0.031 0.284
S: 0.750 0.469 0.784
S: 0.250 0.531 0.216
S: 0.750 0.377 0.030
S: 0.250 0.623 0.970
S: 0.750 0.877 0.470
S: 0.250 0.123 0.530
S: 0.250 0.203 0.842
S: 0.750 0.797 0.158
S: 0.250 0.703 0.658
S: 0.750 0.297 0.342

***

A geometry-optimized Sc7Cl12 structure, computed with GGA-PBEsol.

Calculated values
Total energy, eV per atom: -5.503
Total magnetic moment, μB/f.u.: 5.2
Space group: R-3

Unit cell a=7.980 b=7.980 c=7.980 alpha=107.63 beta=107.63 gamma=107.63
Site moments in Bohr magnetons follow the coordinates.
Positions (direct):
Cl: 0.225 0.076 0.685  0.00
Cl: 0.076 0.685 0.225  0.00
Cl: 0.685 0.225 0.076  0.00
Cl: 0.775 0.924 0.315  0.00
Cl: 0.924 0.315 0.775  0.00
Cl: 0.315 0.775 0.924  0.00
Cl: 0.845 0.612 0.531  0.00
Cl: 0.612 0.531 0.845  0.00
Cl: 0.531 0.845 0.612  0.00
Cl: 0.155 0.388 0.469  0.00
Cl: 0.388 0.469 0.155  0.00
Cl: 0.469 0.155 0.388  0.00
Sc: 0.893 0.967 0.686  0.57
Sc: 0.967 0.686 0.893  0.57
Sc: 0.686 0.893 0.967  0.57
Sc: 0.107 0.033 0.314  0.57
Sc: 0.033 0.314 0.107  0.57
Sc: 0.314 0.107 0.033  0.57
Sc: 0.500 0.500 0.500  0.02

***

A geometry-optimized La2SiNi structure, computed with GGA-PBEsol.

Calculated values
Total energy, eV per atom: -5.980
Total magnetic moment, μB/f.u.: 0.0
Space group: P4/mmm

Unit cell a=3.874 b=4.844 c=4.844 alpha=89.99 beta=90.00 gamma=90.00
Positions (direct):
La: 0.000 0.500 0.000
La: 0.000 0.000 0.500
Ni: 0.500 0.000 0.000
Si: 0.500 0.500 0.500

***

A geometry-optimized EuSnP structure, computed with GGA-PBEsol.

Calculated values
E_form, eV per atom: -0.86
Total energy, eV per atom: -7.729
Total magnetic moment, μB/f.u.: 6.7
Space group: P4/nmm

Unit cell a=4.181 b=4.181 c=8.575 alpha=90.00 beta=90.00 gamma=90.00
Site moments in Bohr magnetons follow the coordinates.
Positions (direct):
Eu: 0.000 0.500 0.171  6.69
Eu: 0.500 0.000 0.829  6.69
Sn: 0.500 0.000 0.449  -0.01
Sn: 0.000 0.500 0.551  -0.01
P: 0.000 0.500 0.840  -0.08
P: 0.500 0.000 0.160  -0.08

***

A geometry-optimized Li2NiO2F structure, computed with GGA-PBEsol.

Calculated values
Total energy, eV per atom: -5.606
Total magnetic moment, μB/f.u.: 1.0
Space group: P-3m1

Unit cell a=2.851 b=2.851 c=13.927 alpha=90.00 beta=90.00 gamma=120.00
Site moments in Bohr magnetons follow the coordinates.
Positions (direct):
Li: 0.000 0.000 0.500  0.01
Li: 0.000 0.000 0.000  0.00
Li: 0.667 0.333 0.835  0.00
Li: 0.333 0.667 0.165  0.00
Ni: 0.667 0.333 0.333  0.73
Ni: 0.333 0.667 0.667  0.73
O: 0.000 0.000 0.259  0.10
O: 0.667 0.333 0.593  0.10
O: 0.000 0.000 0.741  0.10
O: 0.333 0.667 0.407  0.10
F: 0.667 0.333 0.083  0.00
F: 0.333 0.667 0.917  0.00

***

A geometry-optimized CrTeRu2 structure, computed with GGA-PBEsol.

Calculated values
Total energy, eV per atom: -8.133
Total magnetic moment, μB/f.u.: 2.0
Space group: Pmm2

Unit cell a=2.974 b=3.786 c=5.403 alpha=90.00 beta=90.01 gamma=90.00
Site moments in Bohr magnetons follow the coordinates.
Positions (direct):
Cr: 0.500 0.500 0.798  2.24
Ru: 0.000 0.000 0.960  -0.33
Ru: 0.500 0.500 0.266  -0.02
Te: 0.000 0.000 0.476  -0.01

***

A geometry-optimized GdCuSe2 structure, computed with GGA-PBEsol.

Calculated values
Total energy, eV per atom: -7.883
Total magnetic moment, μB/f.u.: 7.0
Space group: P2_1/c

Unit cell a=6.489 b=7.004 c=7.268 alpha=90.00 beta=90.00 gamma=96.02
Site moments in Bohr magnetons follow the coordinates.
Positions (direct):
Gd: 0.194 0.800 0.045  6.89
Gd: 0.806 0.700 0.545  6.89
Gd: 0.806 0.200 0.955  6.89
Gd: 0.194 0.300 0.455  6.89
Cu: 0.564 0.544 0.163  0.01
Cu: 0.436 0.956 0.663  0.01
Cu: 0.436 0.456 0.837  0.01
Cu: 0.564 0.044 0.337  0.01
Se: 0.606 0.281 0.607  0.00
Se: 0.394 0.219 0.107  0.00
Se: 0.394 0.719 0.393  0.00
Se: 0.606 0.781 0.893  0.00
Se: 0.921 0.502 0.223  -0.01
Se: 0.079 0.998 0.723  -0.01
Se: 0.079 0.498 0.777  -0.01
Se: 0.921 0.002 0.277  -0.01

***

> What is the total magnetic moment in the first record?

2.4 μB/f.u.

***

> Look up the total energy of the second one.

-4.110 eV per atom

***

> What is the total energy in the ninth record?

-7.729 eV per atom

***

> Which of these has the highest total energy?

NaSr2Zn2